Entry 1:
YZrGaIr: relaxed, PBE.

Lattice parameters (Å, degrees): 3.6456 4.3733 5.5888 90.00 108.95 90.00
Fractional coordinates of all 4 atoms:
Y (0.0000, 0.0000, 0.0000)
Zr (0.2772, 0.5000, 0.5561)
Ga (0.7245, 0.0000, 0.4508)
Ir (0.5808, 0.5000, 0.1642)

Calculated values
Energy of formation from the pure elements = -262 kJ/mol of formula units
Polymorph energy (0 for the lowest one) = 31 meV per atom
Symmetry = Pm (6)
Final energy = -29.61 eV per cell
N(E_F) = 0.72 states/eV per atom

---

Entry 2:
YZrGaIr: relaxed, PBE.

Lattice parameters (Å, degrees): 5.7418 5.7418 5.7418 45.37 45.37 45.37
Fractional coordinates of all 4 atoms:
Y (0.0000, 0.0000, 0.0000)
Zr (0.8076, 0.8076, 0.8076)
Ga (0.2172, 0.2172, 0.2172)
Ir (0.5612, 0.5612, 0.5612)

Calculated values
Energy of formation from the pure elements = -192 kJ/mol of formula units
Polymorph energy (0 for the lowest one) = 210 meV per atom
Symmetry = R3m (160)
Final energy = -28.89 eV per cell
N(E_F) = 0.81 states/eV per atom

---

Entry 3:
Y2ZrGa3Ir4: relaxed, PBE.

Lattice parameters (Å, degrees): 4.1582 4.1582 11.0884 90.00 90.00 90.00
Fractional coordinates of all 10 atoms:
Y (0.0000, 0.5000, 0.2222)
Y (0.5000, 0.0000, 0.7778)
Zr (0.0000, 0.0000, 0.5000)
Ga (0.0000, 0.5000, 0.8751)
Ga (0.5000, 0.0000, 0.1249)
Ga (0.5000, 0.5000, 0.5000)
Ir (0.0000, 0.0000, 0.0000)
Ir (0.0000, 0.5000, 0.6501)
Ir (0.5000, 0.0000, 0.3499)
Ir (0.5000, 0.5000, 0.0000)

Calculated values
Energy of formation from the pure elements = -719 kJ/mol of formula units
Symmetry = P-4m2 (115)
Final energy = -73.46 eV per cell
N(E_F) = 0.52 states/eV per atom

---

Entry 4:
YZrGaIr: relaxed, PBE.

Lattice parameters (Å, degrees): 3.4378 3.4378 6.8902 90.00 90.00 90.00
Fractional coordinates of all 4 atoms:
Y (0.0000, 0.0000, 0.0000)
Zr (0.0000, 0.0000, 0.4811)
Ga (0.5000, 0.5000, 0.7168)
Ir (0.5000, 0.5000, 0.2840)

Calculated values
Energy of formation from the pure elements = -263 kJ/mol of formula units
Polymorph energy (0 for the lowest one) = 27 meV per atom
Symmetry = P4mm (99)
Final energy = -29.63 eV per cell
N(E_F) = 0.57 states/eV per atom

---

Entry 5:
YZrGaIr: relaxed, PBE.

Lattice parameters (Å, degrees): 5.9198 5.9198 5.9198 147.02 132.87 58.72
Fractional coordinates of all 4 atoms:
Y (0.0000, 0.0000, 0.0000)
Zr (0.7172, 0.2172, 0.5000)
Ga (0.2913, 0.7913, 0.5000)
Ir (0.5036, 0.5036, 0.0000)

Calculated values
Energy of formation from the pure elements = -218 kJ/mol of formula units
Polymorph energy (0 for the lowest one) = 145 meV per atom
Symmetry = Imm2 (44)
Final energy = -29.16 eV per cell
N(E_F) = 0.80 states/eV per atom

---

Entry 6:
Yb3Ga8Ir3: relaxed, PBE.

Lattice parameters (Å, degrees): 8.2124 8.2124 8.2124 150.19 107.16 80.63
Fractional coordinates of all 14 atoms:
Yb (0.0000, 0.0000, 0.0000)
Yb (0.3246, 0.3246, 0.0000)
Yb (0.6754, 0.6754, 0.0000)
Ga (0.0359, 0.6696, 0.3662)
Ga (0.1652, 0.8786, 0.2866)
Ga (0.3034, 0.6696, 0.6338)
Ga (0.4080, 0.1214, 0.2866)
Ga (0.5920, 0.8786, 0.7134)
Ga (0.6966, 0.3304, 0.3662)
Ga (0.8348, 0.1214, 0.7134)
Ga (0.9641, 0.3304, 0.6338)
Ir (0.2776, 0.5000, 0.7776)
Ir (0.5000, 0.0000, 0.5000)
Ir (0.7224, 0.5000, 0.2224)

Calculated values
Energy of formation from the pure elements = -768 kJ/mol of formula units
Symmetry = Immm (71)
Final energy = -63.34 eV per cell
N(E_F) = 2.86 states/eV per atom